Entry from the Alexandria database: a relaxed structure of Ac2Os2N5 (PBE-GGA).

abc: 3.9218 3.9216 8.3333
angles: 90.00 90.00 90.00
With the nearest neighbours (Å) after each atom.
Fractional positions:
N 0.5000 0.5000 0.5000  2 Os 2.18
N 0.0000 0.5000 0.7708  2 Os 1.96
N 0.5000 0.0000 0.2292  2 Os 1.96
N 0.0000 0.5000 0.2292  2 Os 1.96
N 0.5000 0.0000 0.7708  2 Os 1.96
Ac 0.0000 0.0000 0.0000  8 N 2.74
Ac 0.0000 0.0000 0.5000  12 N 2.77-2.99
Os 0.5000 0.5000 0.2383  5 N 1.96-2.18
Os 0.5000 0.5000 0.7617  5 N 1.96-2.18

Results
As for the space group: P4/mmm (123). As for the calculated density: 11.72 g/cm³. The calculation puts the raw formation energy at -0.41 eV/atom.